First-principles (PBE-GGA) data for a geometry-optimized Rb4Ho3CrSe8 structure, as listed in Alexandria via LeMat-Bulk.

Results
Magnetic moment: 3.00 μB per cell
Formation energy without anion corrections: -1.461 eV per atom
Symmetry: No. 166
Crystal system: trigonal
DFT total energy: -4.9048 eV per atom

Unit cell a=9.2943 b=9.2943 c=9.2943 alpha=52.97 beta=52.97 gamma=52.97
Closest atoms and distances in Å follow each position.
Positions (direct):
Rb 0.0000 0.0000 0.0000  6 Se 3.56
Rb 0.0000 0.5000 0.5000  6 Se 3.40-3.41
Rb 0.5000 0.0000 0.5000  6 Se 3.40-3.41
Rb 0.5000 0.5000 0.0000  6 Se 3.40-3.41
Ho 0.0000 0.0000 0.5000  6 Se 2.86-2.88
Ho 0.0000 0.5000 0.0000  6 Se 2.86-2.88
Ho 0.5000 0.0000 0.0000  6 Se 2.86-2.88
Cr 0.5000 0.5000 0.5000  6 Se 2.69
Se 0.2325 0.2325 0.2325  3 Ho 2.86
Se 0.2494 0.7186 0.7186  1 Cr 2.69, 2 Ho 2.88
Se 0.2814 0.2814 0.7506  1 Cr 2.69, 2 Ho 2.88
Se 0.2814 0.7506 0.2814  1 Cr 2.69, 2 Ho 2.88
Se 0.7186 0.2494 0.7186  1 Cr 2.69, 2 Ho 2.88
Se 0.7186 0.7186 0.2494  1 Cr 2.69, 2 Ho 2.88
Se 0.7506 0.2814 0.2814  1 Cr 2.69, 2 Ho 2.88
Se 0.7675 0.7675 0.7675  3 Ho 2.86